--- i ---
VASP calculation (PBE) on crystalline TlGePb at its relaxed geometry.

Results
**Fermi-level density of states**: 0.4052 states/eV/atom
**Spin magnetization**: 0.00 μB per formula unit

a b c (Å): 6.190 6.190 6.112
angles (deg): 101.95 101.95 126.23
Atoms (fractional coordinates):
Pb 0.159 0.159 0.318
Pb 0.841 0.841 0.682
Tl 0.655 0.345 0.000
Ge 0.750 0.250 0.500
Tl 0.345 0.655 0.000
Ge 0.250 0.750 0.500


--- ii ---
VASP calculation (PBE) on crystalline TlGePb at its relaxed geometry.

Results
**Fermi-level density of states**: 0.5432 states/eV/atom
**Spin magnetization**: 0.00 μB per formula unit

a b c (Å): 3.216 5.453 5.453
angles (deg): 120.00 90.00 90.00
Atoms (fractional coordinates):
Pb 0.119 0.000 0.000
Ge 0.234 0.667 0.333
Tl 0.647 0.333 0.667


--- iii ---
VASP calculation (PBE) on crystalline TlGePb at its relaxed geometry.

Results
**Fermi-level density of states**: 1.0294 states/eV/atom
**Spin magnetization**: 0.00 μB per formula unit

a b c (Å): 5.073 5.073 5.073
angles (deg): 60.00 60.00 60.00
Atoms (fractional coordinates):
Tl 0.000 0.000 0.000
Ge 0.250 0.250 0.250
Pb 0.500 0.500 0.500


Verdict on stability: i comes out on top.


--- i ---
VASP calculation (PBE) on crystalline TlGePb3 at its relaxed geometry.

Results
**Fermi-level density of states**: 0.8637 states/eV/atom
**Spin magnetization**: 0.00 μB per formula unit

a b c (Å): 5.617 5.617 5.617
angles (deg): 90.00 90.00 90.00
Atoms (fractional coordinates):
Tl 0.500 0.500 0.500
Pb 0.000 0.000 0.500
Pb 0.500 0.000 0.000
Ge 0.000 0.000 0.000
Pb 0.000 0.500 0.000


--- ii ---
VASP calculation (PBE) on crystalline TlGePb3 at its relaxed geometry.

Results
**Fermi-level density of states**: 0.7355 states/eV/atom
**Spin magnetization**: 0.00 μB per formula unit

a b c (Å): 5.825 5.825 5.825
angles (deg): 90.00 90.00 90.00
Atoms (fractional coordinates):
Tl 0.000 0.000 0.000
Pb 0.000 0.000 0.500
Pb 0.000 0.500 0.000
Ge 0.500 0.500 0.500
Pb 0.500 0.000 0.000


Verdict on stability: i comes out on top.


--- i ---
VASP calculation (PBE) on crystalline VGePb3 at its relaxed geometry.

Results
**Fermi-level density of states**: 1.1532 states/eV/atom
**Spin magnetization**: 1.72 μB per formula unit

a b c (Å): 5.307 5.307 5.307
angles (deg): 90.00 90.00 90.00
Site moments in Bohr magnetons follow the coordinates.
Atoms (fractional coordinates):
Pb 0.500 0.000 0.000  0.00
Pb 0.000 0.500 0.000  0.00
V 0.000 0.000 0.000  1.19
Pb 0.000 0.000 0.500  0.00
Ge 0.500 0.500 0.500  0.16


--- ii ---
VASP calculation (PBE) on crystalline VGePb3 at its relaxed geometry.

Results
**Fermi-level density of states**: 1.8556 states/eV/atom
**Spin magnetization**: 3.94 μB per formula unit

a b c (Å): 5.510 5.510 5.510
angles (deg): 90.00 90.00 90.00
Site moments in Bohr magnetons follow the coordinates.
Atoms (fractional coordinates):
Pb 0.000 0.500 0.000  -0.01
Ge 0.000 0.000 0.000  0.01
Pb 0.000 0.000 0.500  -0.01
Pb 0.500 0.000 0.000  -0.01
V 0.500 0.500 0.500  3.11


Verdict on stability: i comes out on top.


--- i ---
VASP calculation (PBE) on crystalline Ge2PbW2 at its relaxed geometry.

Results
**Fermi-level density of states**: 0.8475 states/eV/atom
**Spin magnetization**: 0.00 μB per formula unit

a b c (Å): 3.675 3.675 7.235
angles (deg): 75.29 75.29 90.00
Atoms (fractional coordinates):
Pb 0.000 0.000 0.000
Ge 0.750 0.250 0.500
Ge 0.250 0.750 0.500
W 0.391 0.391 0.217
W 0.609 0.609 0.783


--- ii ---
VASP calculation (PBE) on crystalline Ge2PbW2 at its relaxed geometry.

Results
**Fermi-level density of states**: 0.6313 states/eV/atom
**Spin magnetization**: 0.00 μB per formula unit

a b c (Å): 7.507 7.507 3.201
angles (deg): 90.00 90.00 90.00
Atoms (fractional coordinates):
Pb 0.500 0.500 0.000
W 0.642 0.142 0.000
Ge 0.355 0.145 0.500
W 0.358 0.858 0.000
W 0.858 0.642 0.000
W 0.142 0.358 0.000
Ge 0.145 0.645 0.500
Pb 0.000 0.000 0.000
Ge 0.855 0.355 0.500
Ge 0.645 0.855 0.500


Verdict on stability: ii comes out on top.


--- i ---
VASP calculation (PBE) on crystalline GePbW3 at its relaxed geometry.

Results
**Fermi-level density of states**: 1.3689 states/eV/atom
**Spin magnetization**: 0.00 μB per formula unit

a b c (Å): 5.020 5.020 5.020
angles (deg): 90.00 90.00 90.00
Atoms (fractional coordinates):
W 0.500 0.000 0.000
W 0.000 0.000 0.500
Pb 0.000 0.000 0.000
Ge 0.500 0.500 0.500
W 0.000 0.500 0.000


--- ii ---
VASP calculation (PBE) on crystalline GePbW3 at its relaxed geometry.

Results
**Fermi-level density of states**: 0.9862 states/eV/atom
**Spin magnetization**: 0.00 μB per formula unit

a b c (Å): 4.683 4.683 4.683
angles (deg): 90.00 90.00 90.00
Atoms (fractional coordinates):
Pb 0.500 0.500 0.500
W 0.500 0.000 0.000
Ge 0.000 0.000 0.000
W 0.000 0.500 0.000
W 0.000 0.000 0.500


Verdict on stability: ii comes out on top.


--- i ---
VASP calculation (PBE) on crystalline Y3GePb at its relaxed geometry.

Results
**Fermi-level density of states**: 0.6253 states/eV/atom
**Spin magnetization**: 0.00 μB per formula unit

a b c (Å): 5.404 5.404 5.404
angles (deg): 90.00 90.00 90.00
Atoms (fractional coordinates):
Pb 0.500 0.500 0.500
Y 0.000 0.000 0.500
Ge 0.000 0.000 0.000
Y 0.500 0.000 0.000
Y 0.000 0.500 0.000


--- ii ---
VASP calculation (PBE) on crystalline Y3GePb at its relaxed geometry.

Results
**Fermi-level density of states**: 0.5559 states/eV/atom
**Spin magnetization**: 0.00 μB per formula unit

a b c (Å): 8.171 8.488 8.488
angles (deg): 81.28 90.00 90.00
Atoms (fractional coordinates):
Pb 0.750 0.659 0.341
Y 0.084 0.698 0.518
Ge 0.126 0.309 0.189
Y 0.916 0.302 0.482
Y 0.698 0.929 0.572
Pb 0.250 0.341 0.659
Y 0.416 0.197 0.016
Y 0.302 0.071 0.428
Pb 0.750 0.160 0.840
Y 0.198 0.572 0.929
Y 0.916 0.016 0.197
Ge 0.374 0.811 0.691
Y 0.084 0.984 0.803
Y 0.584 0.518 0.698
Ge 0.626 0.189 0.309
Y 0.802 0.428 0.071
Y 0.584 0.803 0.984
Y 0.416 0.482 0.302
Ge 0.874 0.691 0.811
Pb 0.250 0.840 0.160


Verdict on stability: ii comes out on top.


--- i ---
VASP calculation (PBE) on crystalline ZnGe2Pb at its relaxed geometry.

Results
**Fermi-level density of states**: 0.5674 states/eV/atom
**Spin magnetization**: 0.00 μB per formula unit

a b c (Å): 4.457 4.457 10.010
angles (deg): 77.14 77.14 90.00
Atoms (fractional coordinates):
Ge 0.206 0.625 0.250
Ge 0.375 0.456 0.750
Ge 0.544 0.125 0.250
Zn 0.250 0.750 0.500
Pb 0.000 0.000 0.000
Ge 0.875 0.794 0.750
Pb 0.750 0.250 0.500
Zn 0.500 0.500 0.000


--- ii ---
VASP calculation (PBE) on crystalline ZnGe2Pb at its relaxed geometry.

Results
**Fermi-level density of states**: 0.4111 states/eV/atom
**Spin magnetization**: 0.00 μB per formula unit

a b c (Å): 4.050 4.050 6.828
angles (deg): 72.75 72.75 60.00
Atoms (fractional coordinates):
Ge 0.725 0.725 0.824
Ge 0.275 0.275 0.176
Pb 0.500 0.500 0.500
Zn 0.000 0.000 0.000


--- iii ---
VASP calculation (PBE) on crystalline ZnGe2Pb at its relaxed geometry.

Results
**Fermi-level density of states**: 0.4574 states/eV/atom
**Spin magnetization**: 0.00 μB per formula unit

a b c (Å): 5.010 5.010 5.010
angles (deg): 60.00 60.00 60.00
Atoms (fractional coordinates):
Zn 0.000 0.000 0.000
Pb 0.500 0.500 0.500
Ge 0.250 0.250 0.250
Ge 0.750 0.750 0.750


Verdict on stability: ii comes out on top.


--- i ---
VASP calculation (PBE) on crystalline Zn3GePb at its relaxed geometry.

Results
**Fermi-level density of states**: 0.6557 states/eV/atom
**Spin magnetization**: 0.00 μB per formula unit

a b c (Å): 4.913 4.913 4.913
angles (deg): 90.00 90.00 90.00
Atoms (fractional coordinates):
Ge 0.000 0.000 0.000
Zn 0.000 0.500 0.000
Zn 0.000 0.000 0.500
Zn 0.500 0.000 0.000
Pb 0.500 0.500 0.500


--- ii ---
VASP calculation (PBE) on crystalline Zn3GePb at its relaxed geometry.

Results
**Fermi-level density of states**: 0.9049 states/eV/atom
**Spin magnetization**: 0.00 μB per formula unit

a b c (Å): 5.262 5.262 5.262
angles (deg): 90.00 90.00 90.00
Atoms (fractional coordinates):
Pb 0.000 0.000 0.000
Ge 0.500 0.500 0.500
Zn 0.500 0.000 0.000
Zn 0.000 0.000 0.500
Zn 0.000 0.500 0.000


Verdict on stability: i comes out on top.


--- i ---
VASP calculation (PBE) on crystalline ZrGePb3 at its relaxed geometry.

Results
**Fermi-level density of states**: 1.4345 states/eV/atom
**Spin magnetization**: 1.55 μB per formula unit

a b c (Å): 5.437 5.437 5.437
angles (deg): 90.00 90.00 90.00
Site moments in Bohr magnetons follow the coordinates.
Atoms (fractional coordinates):
Pb 0.000 0.500 0.000  0.00
Pb 0.500 0.000 0.000  0.00
Zr 0.500 0.500 0.500  0.95
Pb 0.000 0.000 0.500  0.01
Ge 0.000 0.000 0.000  0.03


--- ii ---
VASP calculation (PBE) on crystalline ZrGePb3 at its relaxed geometry.

Results
**Fermi-level density of states**: 1.0137 states/eV/atom
**Spin magnetization**: 0.00 μB per formula unit

a b c (Å): 5.658 5.658 5.658
angles (deg): 90.00 90.00 90.00
Atoms (fractional coordinates):
Pb 0.000 0.500 0.000
Ge 0.500 0.500 0.500
Zr 0.000 0.000 0.000
Pb 0.000 0.000 0.500
Pb 0.500 0.000 0.000


Verdict on stability: ii comes out on top.


--- i ---
VASP calculation (PBE) on crystalline GePd4 at its relaxed geometry.

Results
**Fermi-level density of states**: 0.5124 states/eV/atom
**Spin magnetization**: 0.00 μB per formula unit

a b c (Å): 5.557 5.322 6.662
angles (deg): 99.13 104.02 121.32
Atoms (fractional coordinates):
Ge 0.277 0.221 0.972
Pd 0.739 0.393 0.348
Pd 0.737 0.676 0.747
Pd 0.233 0.404 0.330
Pd 0.197 0.018 0.576
Pd 0.174 0.535 0.753
Ge 0.634 0.990 0.528
Pd 0.172 0.818 0.152
Pd 0.714 0.192 0.924
Pd 0.678 0.806 0.170


--- ii ---
VASP calculation (PBE) on crystalline GePd4 at its relaxed geometry.

Results
**Fermi-level density of states**: 0.8757 states/eV/atom
**Spin magnetization**: 0.00 μB per formula unit

a b c (Å): 4.592 4.592 4.592
angles (deg): 90.00 90.00 90.00
Atoms (fractional coordinates):
Pd 0.500 0.000 0.500
Ge 0.500 0.500 0.500
Pd 0.500 0.500 0.000
Pd 0.000 0.000 0.000
Pd 0.000 0.500 0.500


--- iii ---
VASP calculation (PBE) on crystalline GePd4 at its relaxed geometry.

Results
**Fermi-level density of states**: 0.4753 states/eV/atom
**Spin magnetization**: 0.00 μB per formula unit

a b c (Å): 3.969 4.079 10.040
angles (deg): 90.00 90.00 90.00
Atoms (fractional coordinates):
Pd 0.500 0.000 0.150
Pd 0.500 0.500 0.350
Pd 0.500 0.000 0.850
Ge 0.000 0.500 0.500
Pd 0.000 0.000 0.647
Ge 0.000 0.000 0.000
Pd 0.500 0.500 0.650
Pd 0.000 0.500 0.853
Pd 0.000 0.000 0.353
Pd 0.000 0.500 0.147


Verdict on stability: i comes out on top.


--- i ---
VASP calculation (PBE) on crystalline PmGe3Pd2 at its relaxed geometry.

Results
**Fermi-level density of states**: 0.3395 states/eV/atom
**Spin magnetization**: 0.00 μB per formula unit

a b c (Å): 4.514 7.201 8.215
angles (deg): 115.82 105.95 90.00
Atoms (fractional coordinates):
Pm 0.863 0.865 0.726
Pd 0.501 0.192 0.001
Ge 0.329 0.534 0.657
Pd 0.499 0.808 0.999
Ge 0.670 0.874 0.340
Ge 0.000 0.336 0.001
Pm 0.137 0.135 0.274
Ge 0.330 0.126 0.660
Ge 0.000 0.664 0.999
Pd 0.193 0.693 0.386
Pd 0.807 0.307 0.614
Ge 0.671 0.466 0.343


--- ii ---
VASP calculation (PBE) on crystalline PmGe3Pd2 at its relaxed geometry.

Results
**Fermi-level density of states**: 0.6980 states/eV/atom
**Spin magnetization**: 0.00 μB per formula unit

a b c (Å): 6.131 6.345 6.345
angles (deg): 98.40 90.00 90.00
Atoms (fractional coordinates):
Pd 0.500 0.174 0.174
Pd 0.500 0.826 0.826
Ge 0.750 0.777 0.526
Ge 0.250 0.223 0.474
Ge 0.250 0.526 0.777
Ge 0.750 0.859 0.141
Pm 0.750 0.310 0.690
Pd 0.000 0.174 0.174
Ge 0.750 0.474 0.223
Pm 0.250 0.690 0.310
Ge 0.250 0.141 0.859
Pd 0.000 0.826 0.826


Verdict on stability: i comes out on top.